TbMn2O5: optimized geometry, PBE with a Hubbard U.

Cell lengths 7.382, 8.590, 5.793 Å; angles 90.00, 90.00, 90.00 degrees
Element x y z (fractional)
Tb 0.138 0.171 0.000
Tb 0.362 0.671 0.000
Tb 0.638 0.329 0.000
Tb 0.862 0.829 0.000
Mn 0.000 0.500 0.254
Mn 0.000 0.500 0.746
Mn 0.089 0.849 0.500
Mn 0.411 0.349 0.500
Mn 0.500 0.000 0.254
Mn 0.500 0.000 0.746
Mn 0.589 0.651 0.500
Mn 0.911 0.151 0.500
O 0.000 0.000 0.271
O 0.000 0.000 0.729
O 0.106 0.707 0.241
O 0.106 0.707 0.759
O 0.151 0.431 0.500
O 0.163 0.443 0.000
O 0.337 0.943 0.000
O 0.349 0.931 0.500
O 0.394 0.207 0.241
O 0.394 0.207 0.759
O 0.500 0.500 0.271
O 0.500 0.500 0.729
O 0.606 0.793 0.241
O 0.606 0.793 0.759
O 0.651 0.069 0.500
O 0.663 0.057 0.000
O 0.837 0.557 0.000
O 0.849 0.569 0.500
O 0.894 0.293 0.241
O 0.894 0.293 0.759

Values from the calculation:
* SG: No. 55
* mass density: 6.31 g/cm³
* crystal system: orthorhombic
* magnetic moment: 7.00 μB per formula unit
* calculated total energy: -7.7555 eV/atom